The following is a PBE calculation of a relaxed Tm2H2Pb crystal, from the Open Quantum Materials Database.

Cell: 6.037 6.034 3.947 Å, 70.96 70.87 38.17°
Sites, in units of the cell vectors:
Tm (0.156, 0.156, 0.844)
Tm (0.844, 0.844, 0.156)
H (0.250, 0.250, 0.250)
H (0.750, 0.750, 0.750)
Pb (0.500, 0.500, 0.500)

Computed properties:
SG: No. 69
Total moment: 0.00 μB/f.u.
Total energy: -4.477 eV per atom


The following is a PBE calculation of a relaxed La2W crystal, from the Open Quantum Materials Database.

Cell: 8.500 8.500 8.500 Å, 60.00 60.00 60.00°
Sites, in units of the cell vectors:
La (0.000, 0.000, 0.000)
La (0.000, 0.000, 0.500)
La (0.000, 0.500, 0.000)
La (0.500, 0.000, 0.000)
W (0.125, 0.125, 0.125)
W (0.875, 0.875, 0.875)

Computed properties:
SG: No. 227
Total moment: 0.00 μB/f.u.
Total energy: -6.150 eV per atom
Relative energy among the computed polymorphs: 0 meV/atom


The following is a PBE calculation of a relaxed Y2ErGa3AgPt2 crystal, from the Open Quantum Materials Database.

Cell: 3.714 7.519 7.519 Å, 119.96 90.00 90.00°
Sites, in units of the cell vectors:
Y (0.000, 0.204, 0.796)
Y (0.000, 0.796, 0.204)
Er (0.000, 0.388, 0.388)
Ga (0.500, 0.067, 0.067)
Ga (0.500, 0.525, 0.795)
Ga (0.500, 0.795, 0.525)
Ag (0.000, 0.794, 0.794)
Pt (0.500, 0.133, 0.462)
Pt (0.500, 0.462, 0.133)

Computed properties:
SG: No. 38
Total moment: 0.00 μB/f.u.
Total energy: -5.505 eV per atom


The following is a PBE calculation of a relaxed ZrTaTc2 crystal, from the Open Quantum Materials Database.

Cell: 3.226 3.226 6.503 Å, 90.00 90.00 90.00°
Sites, in units of the cell vectors:
Zr (0.000, 0.000, 0.000)
Ta (0.000, 0.000, 0.500)
Tc (0.500, 0.500, 0.260)
Tc (0.500, 0.500, 0.740)

Computed properties:
SG: No. 123
Total moment: 0.01 μB/f.u.
Total energy: -10.720 eV per atom


The following is a PBE calculation of a relaxed BaCdTeO crystal, from the Open Quantum Materials Database.

Cell: 6.583 9.031 14.512 Å, 90.00 90.00 90.00°
Sites, in units of the cell vectors:
Ba (0.226, 0.141, 0.155)
Ba (0.226, 0.359, 0.655)
Ba (0.274, 0.641, 0.155)
Ba (0.274, 0.859, 0.655)
Ba (0.726, 0.141, 0.345)
Ba (0.726, 0.359, 0.845)
Ba (0.774, 0.641, 0.345)
Ba (0.774, 0.859, 0.845)
Cd (0.230, 0.126, 0.849)
Cd (0.230, 0.374, 0.349)
Cd (0.270, 0.626, 0.849)
Cd (0.270, 0.874, 0.349)
Cd (0.730, 0.126, 0.651)
Cd (0.730, 0.374, 0.151)
Cd (0.770, 0.626, 0.651)
Cd (0.770, 0.874, 0.151)
Te (0.234, 0.120, 0.458)
Te (0.234, 0.380, 0.958)
Te (0.266, 0.620, 0.458)
Te (0.266, 0.880, 0.958)
Te (0.734, 0.120, 0.042)
Te (0.734, 0.380, 0.542)
Te (0.766, 0.620, 0.042)
Te (0.766, 0.880, 0.542)
O (0.045, 0.662, 0.737)
O (0.045, 0.838, 0.237)
O (0.455, 0.162, 0.737)
O (0.455, 0.338, 0.237)
O (0.545, 0.662, 0.763)
O (0.545, 0.838, 0.263)
O (0.955, 0.162, 0.763)
O (0.955, 0.338, 0.263)

Computed properties:
SG: No. 61
Total energy: -4.127 eV per atom


The following is a PBE calculation of a relaxed ZrCo2B crystal, from the Open Quantum Materials Database.

Cell: 4.096 4.096 4.096 Å, 60.00 60.00 60.00°
Sites, in units of the cell vectors:
Zr (0.000, 0.000, 0.000)
Co (0.250, 0.250, 0.250)
Co (0.500, 0.500, 0.500)
B (0.750, 0.750, 0.750)

Computed properties:
SG: No. 216
Total moment: 0.03 μB/f.u.
Total energy: -7.121 eV per atom


The following is a PBE calculation of a relaxed Tm5Ga2Sb crystal, from the Open Quantum Materials Database.

Cell: 8.476 8.476 8.476 Å, 123.74 123.74 83.63°
Sites, in units of the cell vectors:
Tm (0.000, 0.000, 0.000)
Tm (0.009, 0.509, 0.806)
Tm (0.203, 0.009, 0.500)
Tm (0.297, 0.797, 0.806)
Tm (0.491, 0.297, 0.500)
Tm (0.500, 0.500, 0.000)
Tm (0.509, 0.703, 0.500)
Tm (0.703, 0.203, 0.194)
Tm (0.797, 0.991, 0.500)
Tm (0.991, 0.491, 0.194)
Ga (0.147, 0.353, 0.500)
Ga (0.353, 0.853, 0.205)
Ga (0.647, 0.147, 0.795)
Ga (0.853, 0.647, 0.500)
Sb (0.250, 0.250, 0.000)
Sb (0.750, 0.750, 0.000)

Computed properties:
SG: No. 140
Total moment: 0.02 μB/f.u.
Total energy: -4.700 eV per atom


The following is a PBE calculation of a relaxed Si2BiIr crystal, from the Open Quantum Materials Database.

Cell: 4.700 4.700 4.700 Å, 60.00 60.00 60.00°
Sites, in units of the cell vectors:
Si (0.000, 0.000, 0.000)
Si (0.250, 0.250, 0.250)
Bi (0.500, 0.500, 0.500)
Ir (0.750, 0.750, 0.750)

Computed properties:
SG: No. 216
Total moment: 0.00 μB/f.u.
Total energy: -5.367 eV per atom